Computed, not measured: crystalline GdLuZnSi at its relaxed geometry at the PBE level of DFT.

It has space group F-43m (No. 216), with a = 6.994 Å, b = 6.994 Å, c = 6.994 Å, α = 90.00°, β = 90.00° and γ = 90.00°. The asymmetric unit holds Gd at (0.000, 0.000, 0.000), Lu at (0.000, 0.000, 0.500), Zn at (0.250, 0.250, 0.750) and Si at (0.250, 0.250, 0.250).

For the total magnetic moment, the calculation gives 28.6 Bohr magnetons per cell. The formation energy from raw total energies comes out at -0.447 eV per atom.